# 1
Entry from Alexandria: a relaxed HoB4 crystal (PBE).

E above lowest polymorph = 0 meV/atom
energy relative to the elements = -0.590 eV/atom
space group = P4/mbm
D(E_F) = 0.124 states/eV/atom

a b c (Å): 7.0878 7.0878 4.0062
angles (deg): 90.00 90.00 90.00
Closest atoms and distances in Å follow each position.
Sites, in units of the cell vectors:
Ho1 0.1816 0.3184 0.0000  16 B 2.72-2.84
Ho2 0.3184 0.8184 0.0000  16 B 2.72-2.84
Ho3 0.6816 0.1816 0.0000  16 B 2.72-2.84
Ho4 0.8184 0.6816 0.0000  16 B 2.72-2.84
B1 0.0000 0.0000 0.2032  5 B 1.63-1.75
B2 0.0000 0.0000 0.7968  5 B 1.63-1.75
B3 0.0389 0.8236 0.5000  5 B 1.71-1.81
B4 0.0869 0.5869 0.5000  3 B 1.71-1.74
B5 0.1764 0.0389 0.5000  5 B 1.71-1.81
B6 0.3236 0.5389 0.5000  5 B 1.71-1.81
B7 0.4131 0.0869 0.5000  3 B 1.71-1.74
B8 0.4611 0.3236 0.5000  5 B 1.71-1.81
B9 0.5000 0.5000 0.2032  5 B 1.63-1.75
B10 0.5000 0.5000 0.7968  5 B 1.63-1.75
B11 0.5389 0.6764 0.5000  5 B 1.71-1.81
B12 0.5869 0.9131 0.5000  3 B 1.71-1.74
B13 0.6764 0.4611 0.5000  5 B 1.71-1.81
B14 0.8236 0.9611 0.5000  5 B 1.71-1.81
B15 0.9131 0.4131 0.5000  3 B 1.71-1.74
B16 0.9611 0.1764 0.5000  5 B 1.71-1.81

=====

# 2
Entry from Alexandria: a relaxed LaNb3Pt crystal (PBE).

E above lowest polymorph = 1056 meV/atom
energy relative to the elements = 1.738 eV/atom
space group = Pm-3m
D(E_F) = 0.938 states/eV/atom

a b c (Å): 4.8091 4.8091 4.8091
angles (deg): 90.00 90.00 90.00
Closest atoms and distances in Å follow each position.
Sites, in units of the cell vectors:
La1 0.0000 0.0000 0.0000  6 Nb 2.40
Nb1 0.0000 0.0000 0.5000  2 La 2.40
Nb2 0.0000 0.5000 0.0000  2 La 2.40
Nb3 0.5000 0.0000 0.0000  2 La 2.40
Pt1 0.5000 0.5000 0.5000  12 Nb 3.40

=====

Among the records above, which one has the highest E above lowest polymorph?
LaNb3Pt

=====

What is the D(E_F) in the first record?
0.124 states/eV/atom

=====

What did the first record say?
Entry from Alexandria: a relaxed HoB4 crystal (PBE).

E above lowest polymorph = 0 meV/atom
energy relative to the elements = -0.590 eV/atom
space group = P4/mbm
D(E_F) = 0.124 states/eV/atom

a b c (Å): 7.0878 7.0878 4.0062
angles (deg): 90.00 90.00 90.00
Closest atoms and distances in Å follow each position.
Sites, in units of the cell vectors:
Ho1 0.1816 0.3184 0.0000  16 B 2.72-2.84
Ho2 0.3184 0.8184 0.0000  16 B 2.72-2.84
Ho3 0.6816 0.1816 0.0000  16 B 2.72-2.84
Ho4 0.8184 0.6816 0.0000  16 B 2.72-2.84
B1 0.0000 0.0000 0.2032  5 B 1.63-1.75
B2 0.0000 0.0000 0.7968  5 B 1.63-1.75
B3 0.0389 0.8236 0.5000  5 B 1.71-1.81
B4 0.0869 0.5869 0.5000  3 B 1.71-1.74
B5 0.1764 0.0389 0.5000  5 B 1.71-1.81
B6 0.3236 0.5389 0.5000  5 B 1.71-1.81
B7 0.4131 0.0869 0.5000  3 B 1.71-1.74
B8 0.4611 0.3236 0.5000  5 B 1.71-1.81
B9 0.5000 0.5000 0.2032  5 B 1.63-1.75
B10 0.5000 0.5000 0.7968  5 B 1.63-1.75
B11 0.5389 0.6764 0.5000  5 B 1.71-1.81
B12 0.5869 0.9131 0.5000  3 B 1.71-1.74
B13 0.6764 0.4611 0.5000  5 B 1.71-1.81
B14 0.8236 0.9611 0.5000  5 B 1.71-1.81
B15 0.9131 0.4131 0.5000  3 B 1.71-1.74
B16 0.9611 0.1764 0.5000  5 B 1.71-1.81